[1]
Material: La5Nd2Tm2
Method: DFT, GGA-PBE
State: optimized geometry

Results
The energy above the most stable polymorph in this dataset comes out at 138 meV/atom. The calculation puts the total energy at -4.63 eV/atom. The energy of formation is 1.5 eV/f.u.

Geometry as extended XYZ:
```
18
Lattice="-7.6487 6.4979 3.1760 7.6487 -6.4979 3.1760 7.6487 6.4979 -3.1760" Properties=species:S:1:pos:R:3 pbc="T T T"
La 3.8243 4.2632 -1.5324
La 0.7941 2.6409 0.0000
La 6.8545 2.6409 0.0000
La 3.8243 2.2347 1.6435
La -2.2044 4.1270 1.0826
La 9.8530 4.1270 1.0826
La 0.7941 3.8570 3.1760
La 6.8545 3.8570 3.1760
La 2.2044 8.8688 1.0826
La -2.2044 2.3709 4.2585
Nd 2.0406 -0.6550 1.0815
Nd 5.6080 -0.6550 1.0815
Nd 5.6080 7.1529 -2.0944
Nd 9.6893 0.6550 1.0815
Tm 0.0000 6.4979 0.7012
Tm 0.0000 0.0000 3.8771
Tm 3.8243 5.7355 1.5001
Tm 3.8243 0.7624 4.6760
```

[2]
Material: ZnSiSb2Te
Method: DFT, GGA-PBE
State: optimized geometry

Results
The energy above the most stable polymorph in this dataset comes out at 172 meV/atom. The calculation puts the total energy at -2.82 eV/atom. For the raw formation energy, the calculation gives 0.80 eV/atom.

Geometry as extended XYZ:
```
5
Lattice="5.1253 0.0000 0.0000 0.0000 5.1253 0.0000 0.0000 0.0000 5.4057" Properties=species:S:1:pos:R:3 pbc="T T T"
Zn 0.0000 0.0000 0.0000
Si 2.5627 2.5627 2.7028
Sb 0.0000 2.5627 0.0000
Sb 2.5627 0.0000 0.0000
Te 0.0000 0.0000 2.7028
```

[3]
Material: PmDy2HgN
Method: DFT, GGA-PBE
State: optimized geometry

Results
The calculation puts the total energy at -5.39 eV/atom. For the raw formation energy, the calculation gives -0.88 eV/atom.

Geometry as extended XYZ:
```
5
Lattice="4.8078 0.0000 0.0000 0.0000 4.8078 0.0000 0.0000 0.0000 4.9700" Properties=species:S:1:pos:R:3 pbc="T T T"
Pm 0.0000 0.0000 0.0000
Dy 0.0000 2.4039 2.4850
Dy 2.4039 0.0000 2.4850
Hg 2.4039 2.4039 0.0000
N 0.0000 0.0000 2.4850
```

[4]
Material: VSn2BiAs
Method: DFT, GGA-PBE
State: optimized geometry

Results
The calculation puts the total energy at -4.64 eV/atom. The energy of formation is 2.5 eV/f.u.

Geometry as extended XYZ:
```
5
Lattice="5.1863 0.0000 0.0000 0.0000 5.1863 0.0000 0.0000 0.0000 5.2386" Properties=species:S:1:pos:R:3 pbc="T T T"
V 0.0000 0.0000 0.0000
Sn 0.0000 2.5931 0.0000
Sn 2.5931 0.0000 0.0000
Bi 0.0000 0.0000 2.6193
As 2.5931 2.5931 2.6193
```

[5]
Material: SmMgTlPd
Method: DFT, GGA-PBE
State: optimized geometry

Results
The calculation puts the total energy at -3.95 eV/atom. The energy of formation is -1.9 eV/f.u.

Geometry as extended XYZ:
```
4
Lattice="0.0000 3.5689 3.5689 3.5689 0.0000 3.5689 3.5689 3.5689 0.0000" Properties=species:S:1:pos:R:3 pbc="T T T"
Sm 0.0000 0.0000 0.0000
Mg 3.5689 3.5689 3.5689
Tl 1.7844 1.7844 1.7844
Pd 5.3533 5.3533 5.3533
```

[6]
Material: ThCuSi2Rh2
Method: DFT, GGA-PBE
State: optimized geometry

Results
The calculation puts the total energy at -6.48 eV/atom. For the raw formation energy, the calculation gives -0.31 eV/atom.

Geometry as extended XYZ:
```
6
Lattice="4.3449 0.0000 0.0000 0.0000 4.3449 0.0000 0.0000 0.0000 5.5636" Properties=species:S:1:pos:R:3 pbc="T T T"
Th 0.0000 0.0000 0.0000
Cu 0.0000 0.0000 2.7818
Si 0.0000 2.1724 2.7818
Si 2.1724 0.0000 2.7818
Rh 2.1724 2.1724 1.3952
Rh 2.1724 2.1724 4.1684
```

[7]
Material: RbP2O2
Method: DFT, GGA-PBE
State: optimized geometry

Results
The energy above the most stable polymorph in this dataset comes out at 1595 meV/atom. The calculation puts the total energy at -2.85 eV/atom. For the raw formation energy, the calculation gives 1.49 eV/atom.

Geometry as extended XYZ:
```
5
Lattice="4.1595 0.0000 0.0000 0.0000 4.1595 0.0000 0.0000 0.0000 7.5538" Properties=species:S:1:pos:R:3 pbc="T T T"
Rb 0.0000 0.0000 0.0000
P 0.0000 0.0000 3.7769
P 2.0797 2.0797 3.7769
O 0.0000 2.0797 0.0000
O 2.0797 0.0000 0.0000
```

[8]
Material: PaAgGeO6
Method: DFT, GGA-PBE
State: optimized geometry

Results
The calculation puts the total energy at -6.97 eV/atom. For the raw formation energy, the calculation gives -1.78 eV/atom.

Geometry as extended XYZ:
```
18
Lattice="4.9050 0.0000 0.0000 0.0000 4.9050 0.0000 0.0000 0.0000 9.7231" Properties=species:S:1:pos:R:3 pbc="T T T"
Pa 0.0000 0.0000 0.0000
Pa 2.4525 2.4525 4.8615
Ag 0.0000 0.0000 3.1971
Ag 2.4525 2.4525 8.0586
Ge 0.0000 0.0000 6.4389
Ge 2.4525 2.4525 1.5774
O 0.8756 0.8756 7.9065
O 0.9014 0.9014 5.0177
O 1.0700 1.0700 1.5256
O 1.3824 3.5225 6.3871
O 1.5511 3.3539 0.1561
O 1.5769 3.3281 3.0449
O 3.3281 1.5769 3.0449
O 3.3539 1.5511 0.1561
O 3.5225 1.3824 6.3871
O 3.8349 3.8349 1.5256
O 4.0036 4.0036 5.0177
O 4.0294 4.0294 7.9065
```

Copy entry 7 word for word.
Material: RbP2O2
Method: DFT, GGA-PBE
State: optimized geometry

Results
The energy above the most stable polymorph in this dataset comes out at 1595 meV/atom. The calculation puts the total energy at -2.85 eV/atom. For the raw formation energy, the calculation gives 1.49 eV/atom.

Geometry as extended XYZ:
```
5
Lattice="4.1595 0.0000 0.0000 0.0000 4.1595 0.0000 0.0000 0.0000 7.5538" Properties=species:S:1:pos:R:3 pbc="T T T"
Rb 0.0000 0.0000 0.0000
P 0.0000 0.0000 3.7769
P 2.0797 2.0797 3.7769
O 0.0000 2.0797 0.0000
O 2.0797 0.0000 0.0000
```